The following is a PBE+U calculation of a relaxed structure of Mg2FeRuO6, from Alexandria.

Computed properties:
**V**: 107.1 Å³/cell
**Total magnetic moment**: 0.804 μB per atom
**E_tot**: -0.4786 Ry per atom

Cell: 5.5084 5.5084 5.5084 Å, 55.94 55.94 55.94°
Fractional positions:
Mg 0.0000 0.0000 0.0000
Mg 0.4983 0.4983 0.4983
Fe 0.2105 0.2105 0.2105
Ru 0.7028 0.7028 0.7028
O 0.0778 0.4305 0.8137
O 0.3160 0.9182 0.5919
O 0.4305 0.8137 0.0778
O 0.5919 0.3160 0.9182
O 0.8137 0.0778 0.4305
O 0.9182 0.5919 0.3160